[1]
MgInI2O: optimized geometry, GGA-PBE.

The space group is P4/mmm (No. 123) and the conventional cell measures 6.145, 6.145 and 3.810 Å, with angles of 90.00, 90.00 and 90.00 degrees. Symmetry generates all atoms from Mg at (0.000, 0.000, 0.000), In at (0.500, 0.500, 0.500), I at (0.000, 0.500, 0.000) and O at (0.000, 0.000, 0.500).

The total energy comes out at -3.2190 eV/atom. The value obtained for the excess energy over the best structure of this formula in the dataset is 0.000 eV per atom. The formation energy (no corrections) comes out at -741 meV/atom.


[2]
MgInPb2I: optimized geometry, GGA-PBE.

The space group is P4/mmm (No. 123) and the conventional cell measures 5.624, 5.624 and 5.745 Å, with angles of 90.00, 90.00 and 90.00 degrees. Symmetry generates all atoms from Mg at (0.000, 0.000, 0.000), In at (0.000, 0.000, 0.500), Pb at (0.000, 0.500, 0.000) and I at (0.500, 0.500, 0.500).

The total energy comes out at -2.4398 eV/atom. The formation energy (no corrections) comes out at 220 meV/atom.


[3]
RbMgIn2I8: optimized geometry, GGA-PBE.

The space group is R32 (No. 155, hexagonal axes) and the conventional cell measures 7.4876, 7.4876 and 34.2834 Å, with angles of 90.00, 90.00 and 120.00 degrees. Symmetry generates all atoms from Rb at (0.0000, 0.0000, 0.0000), Mg at (0.0000, 0.0000, 0.5000), In at (0.0000, 0.0000, 0.2440), I at (0.0000, 0.0000, 0.3261) and I at (0.0086, 0.3816, 0.2242).

The total energy comes out at -2.3653 eV/atom. The formation energy (no corrections) comes out at -662 meV/atom.


[4]
Rb2MgInI6: optimized geometry, GGA-PBE.

The space group is I4/mmm (No. 139) and the conventional cell measures 8.513, 8.513 and 12.054 Å, with angles of 90.00, 90.00 and 90.00 degrees. Symmetry generates all atoms from Rb at (0.000, 0.500, 0.250), Mg at (0.000, 0.000, 0.000), In at (0.000, 0.000, 0.500), I at (0.000, 0.000, 0.244) and I at (0.244, 0.244, 0.000).

The total energy comes out at -2.5462 eV/atom. The formation energy (no corrections) comes out at -989 meV/atom.


[5]
Rb3MgIn3I8: optimized geometry, GGA-PBE.

The space group is R-3m (No. 166, hexagonal axes) and the conventional cell measures 10.2880, 10.2880 and 24.1381 Å, with angles of 90.00, 90.00 and 120.00 degrees. Symmetry generates all atoms from Rb at (0.0000, 0.5000, 0.0000), Mg at (0.0000, 0.0000, 0.0000), In at (0.0000, 0.5000, 0.5000), I at (0.0000, 0.0000, 0.2454) and I at (0.0602, 0.5301, 0.7395).

The total energy comes out at -2.6466 eV/atom. The formation energy (no corrections) comes out at -972 meV/atom.


[6]
RbMgInI4: optimized geometry, GGA-PBE.

The space group is P2_1/m (No. 11) and the conventional cell measures 8.138, 8.394 and 10.063 Å, with angles of 90.00, 107.85 and 90.00 degrees. Symmetry generates all atoms from Rb at (0.250, 0.250, 0.059), Mg at (0.230, 0.750, 0.313), In at (0.225, 0.250, 0.547), I at (0.006, 0.004, 0.256), I at (0.426, 0.750, 0.136) and I at (0.433, 0.750, 0.585).

The total energy comes out at -2.6404 eV/atom. The formation energy (no corrections) comes out at -997 meV/atom.


[7]
MgInSb2I: optimized geometry, GGA-PBE.

The space group is P4/mmm (No. 123) and the conventional cell measures 5.443, 5.443 and 5.962 Å, with angles of 90.00, 90.00 and 90.00 degrees. Symmetry generates all atoms from Mg at (0.000, 0.000, 0.000), In at (0.500, 0.500, 0.500), Sb at (0.000, 0.500, 0.000) and I at (0.000, 0.000, 0.500).

The total energy comes out at -2.5974 eV/atom. The value obtained for the excess energy over the best structure of this formula in the dataset is 0.000 eV per atom. The formation energy (no corrections) comes out at 228 meV/atom.


[8]
MgScInI6: optimized geometry, GGA-PBE.

The space group is P312 (No. 149) and the conventional cell measures 7.5465, 7.5465 and 7.6307 Å, with angles of 90.00, 90.00 and 120.00 degrees. Symmetry generates all atoms from Mg at (0.0000, 0.0000, 0.0000), Sc at (0.3333, 0.6667, 0.0000), In at (0.6667, 0.3333, 0.5000) and I at (0.0359, 0.3369, 0.2199).

The total energy comes out at -3.1986 eV/atom. The formation energy (no corrections) comes out at -980 meV/atom.